Entry 1:
First-principles (PBE-GGA) data for crystalline YSiP2O at its relaxed geometry, as listed in Alexandria.

POSCAR file:
```
YSiP2O
1.0
5.383 0.000 0.000
0.000 5.383 0.000
0.000 0.000 4.128
O P Si Y
1 2 1 1
direct
0.000 0.000 0.500
0.500 0.000 0.000
0.000 0.500 0.000
0.500 0.500 0.500
0.000 0.000 0.000
```

Results
The uncorrected energy is -5.2957 eV/atom. The value obtained for the uncorrected formation energy is 0.237 eV per atom. The total magnetic moment comes out at 0.03 μB/atom. Its relative energy among the computed polymorphs is 1064 meV/atom. The symmetry is P4/mmm (123).

***

Entry 2:
First-principles (PBE-GGA) data for crystalline YSiP2O at its relaxed geometry, as listed in Alexandria.

POSCAR file:
```
YSiP2O
1.0
-3.908 2.594 1.554
-1.644 -3.954 2.466
1.728 0.976 2.716
P Si Y O
2 1 1 1
direct
0.000 0.500 0.000
0.500 0.000 0.000
0.000 0.000 0.000
0.500 0.500 0.500
0.000 0.000 0.500
```

Results
The uncorrected energy is -6.3595 eV/atom. The value obtained for the uncorrected formation energy is -0.826 eV per atom. The total magnetic moment comes out at 0.00 μB/atom. Its relative energy among the computed polymorphs is 0 meV/atom. The symmetry is P4/mmm (123).

***

Entry 3:
First-principles (PBE-GGA) data for crystalline Y2SiP4O15 at its relaxed geometry, as listed in Alexandria.

POSCAR file:
```
Y2SiP4O15
1.0
-1.014 5.246 1.465
-5.878 -0.033 -3.952
-8.716 -5.317 13.010
O P Y Si
30 8 4 2
direct
0.579 0.412 0.688
0.171 0.235 0.697
0.441 0.877 0.631
0.165 0.576 0.707
0.285 0.428 0.573
0.835 0.924 0.207
0.895 0.096 0.395
0.285 0.572 0.427
0.421 0.912 0.812
0.579 0.588 0.312
0.578 0.000 0.500
0.421 0.088 0.188
0.441 0.123 0.369
0.165 0.424 0.293
0.829 0.265 0.197
0.350 0.836 0.030
0.171 0.765 0.303
0.650 0.664 0.530
0.105 0.596 0.105
0.715 0.928 0.927
0.895 0.904 0.605
0.105 0.404 0.895
0.422 0.500 0.000
0.829 0.735 0.803
0.559 0.623 0.131
0.350 0.164 0.970
0.559 0.377 0.869
0.715 0.072 0.073
0.650 0.336 0.470
0.835 0.076 0.793
0.353 0.636 0.073
0.311 0.588 0.331
0.689 0.912 0.831
0.353 0.364 0.927
0.689 0.088 0.169
0.647 0.136 0.427
0.647 0.864 0.573
0.311 0.412 0.669
0.866 0.405 0.784
0.866 0.595 0.216
0.134 0.905 0.716
0.134 0.095 0.284
0.536 0.000 0.000
0.464 0.500 0.500
```

Results
The uncorrected energy is -7.9053 eV/atom. The value obtained for the uncorrected formation energy is -2.707 eV per atom. The total magnetic moment comes out at 0.00 μB/atom. The symmetry is P2_12_12 (18).

***

Entry 4:
First-principles (PBE-GGA) data for crystalline YZr5Si5PO24 at its relaxed geometry, as listed in Alexandria.

POSCAR file:
```
YZr5Si5PO24
1.0
-2.109 -4.900 1.860
3.044 -0.299 -4.749
23.820 -4.353 15.544
Si O Zr P Y
10 48 10 2 2
direct
0.000 0.500 0.082
0.000 0.000 0.164
0.500 0.500 0.328
0.500 0.500 0.000
0.500 0.500 0.672
0.500 0.000 0.918
0.000 0.000 0.500
0.000 0.000 0.836
0.500 0.000 0.247
0.000 0.500 0.753
0.911 0.228 0.723
0.600 0.774 0.358
0.411 0.729 0.888
0.728 0.911 0.134
0.771 0.089 0.948
0.750 0.430 0.445
0.227 0.414 0.298
0.412 0.729 0.216
0.729 0.411 0.112
0.589 0.771 0.030
0.911 0.728 0.866
0.069 0.748 0.384
0.252 0.931 0.616
0.430 0.750 0.555
0.589 0.271 0.888
0.250 0.570 0.445
0.089 0.272 0.866
0.272 0.089 0.134
0.089 0.271 0.194
0.911 0.229 0.052
0.229 0.411 0.970
0.275 0.097 0.470
0.411 0.229 0.030
0.570 0.250 0.555
0.774 0.600 0.642
0.729 0.412 0.784
0.725 0.903 0.470
0.748 0.069 0.616
0.400 0.226 0.358
0.773 0.586 0.298
0.097 0.275 0.530
0.586 0.773 0.702
0.588 0.271 0.216
0.271 0.589 0.112
0.772 0.089 0.277
0.228 0.911 0.277
0.271 0.089 0.806
0.931 0.252 0.384
0.911 0.729 0.194
0.414 0.227 0.702
0.903 0.725 0.530
0.271 0.588 0.784
0.229 0.911 0.948
0.729 0.911 0.806
0.089 0.771 0.052
0.226 0.400 0.642
0.089 0.772 0.723
0.771 0.589 0.970
0.000 0.000 0.000
0.000 0.500 0.246
0.500 0.000 0.754
0.500 0.000 0.082
0.500 0.500 0.164
0.000 0.000 0.328
0.000 0.000 0.672
0.000 0.500 0.918
0.500 0.500 0.836
0.500 0.500 0.500
0.000 0.500 0.415
0.500 0.000 0.585
0.500 0.000 0.414
0.000 0.500 0.586
```

Results
The uncorrected energy is -8.6410 eV/atom. The value obtained for the uncorrected formation energy is -3.065 eV per atom. The total magnetic moment comes out at 0.00 μB/atom. The symmetry is C222 (21).

***

Entry 5:
First-principles (PBE-GGA) data for crystalline ZnSiPO2 at its relaxed geometry, as listed in Alexandria.

POSCAR file:
```
ZnSiPO2
1.0
-2.143 -0.300 -2.654
1.832 -2.642 -1.181
-3.009 -3.342 2.808
O Si P Zn
2 1 1 1
direct
0.000 0.500 0.000
0.500 0.000 0.000
0.000 0.000 0.000
0.000 0.000 0.500
0.500 0.500 0.500
```

Results
The uncorrected energy is -5.3550 eV/atom. The value obtained for the uncorrected formation energy is -0.950 eV per atom. The total magnetic moment comes out at 0.01 μB/atom. Its relative energy among the computed polymorphs is 0 meV/atom. The symmetry is P4/mmm (123).

***

Entry 6:
First-principles (PBE-GGA) data for crystalline ZnSiPO2 at its relaxed geometry, as listed in Alexandria.

POSCAR file:
```
ZnSiPO2
1.0
3.734 0.000 0.000
0.000 3.734 0.000
0.000 0.000 4.980
P O Zn Si
1 2 1 1
direct
0.000 0.000 0.500
0.500 0.000 0.000
0.000 0.500 0.000
0.000 0.000 0.000
0.500 0.500 0.500
```

Results
The uncorrected energy is -4.1563 eV/atom. The value obtained for the uncorrected formation energy is 0.248 eV per atom. The total magnetic moment comes out at 0.00 μB/atom. Its relative energy among the computed polymorphs is 1199 meV/atom. The symmetry is P4/mmm (123).

***

Entry 7:
First-principles (PBE-GGA) data for crystalline ZrSiP2O at its relaxed geometry, as listed in Alexandria.

POSCAR file:
```
ZrSiP2O
1.0
-3.549 1.455 3.448
3.365 -0.841 3.817
1.261 3.752 -0.285
Si P Zr O
1 2 1 1
direct
0.500 0.500 0.500
0.500 0.000 0.000
0.000 0.500 0.000
0.000 0.000 0.000
0.000 0.000 0.500
```

Results
The uncorrected energy is -6.0891 eV/atom. The value obtained for the uncorrected formation energy is -0.139 eV per atom. The total magnetic moment comes out at 0.00 μB/atom. Its relative energy among the computed polymorphs is 466 meV/atom. The symmetry is P4/mmm (123).

***

Entry 8:
First-principles (PBE-GGA) data for crystalline ZrSiP2O at its relaxed geometry, as listed in Alexandria.

POSCAR file:
```
ZrSiP2O
1.0
-3.352 2.924 -1.819
1.049 -1.551 -4.426
-2.260 -2.400 0.306
O P Zr Si
1 2 1 1
direct
0.000 0.000 0.500
0.000 0.500 0.000
0.500 0.000 0.000
0.500 0.500 0.500
0.000 0.000 0.000
```

Results
The uncorrected energy is -6.5555 eV/atom. The value obtained for the uncorrected formation energy is -0.606 eV per atom. The total magnetic moment comes out at 0.00 μB/atom. Its relative energy among the computed polymorphs is 0 meV/atom. The symmetry is P4/mmm (123).

***

Among the records above, which one has the highest uncorrected energy?
number 6

***

Among the records above, which one has the highest uncorrected energy?
number 6

***

What is the formula in the eighth record?
ZrSiP2O